# TaTi2Nb2Ir5

A geometry-optimized TaTi2Nb2Ir5 structure (PBE, Alexandria).

abc: 3.9068 9.1076 9.1076
angles: 90.00 90.00 90.00
Closest atoms and distances in Å follow each position.
Positions (direct):
Ir  0.5000  0.2029  0.0649  2 Ti 2.57, 3 Ir 2.74-2.77, 2 Ta 2.75
Ir  0.5000  0.5000  0.0000  4 Ti 2.51, 4 Ir 2.77
Ir  0.5000  0.0649  0.7971  2 Ti 2.57, 3 Ir 2.74-2.77, 2 Ta 2.75
Nb  0.0000  0.8227  0.6773  3 Ti 2.58-2.78
Nb  0.0000  0.1773  0.3227  3 Ti 2.58-2.78
Ta  0.0000  0.0000  0.0000  8 Ir 2.75
Ir  0.5000  0.9351  0.2029  2 Ti 2.57, 3 Ir 2.74-2.77, 2 Ta 2.75
Ti  0.0000  0.8774  0.3774  6 Ir 2.51-2.57, 3 Nb 2.58-2.78
Ir  0.5000  0.7029  0.4351  2 Ti 2.57, 3 Ir 2.74-2.77, 2 Ta 2.75
Ti  0.0000  0.1226  0.6226  6 Ir 2.51-2.57, 3 Nb 2.58-2.78
Ir  0.5000  0.4351  0.2971  2 Ti 2.57, 3 Ir 2.74-2.77, 2 Ta 2.75
Ti  0.0000  0.6226  0.8774  6 Ir 2.51-2.57, 3 Nb 2.58-2.78
Ta  0.0000  0.5000  0.5000  8 Ir 2.75
Ir  0.5000  0.5649  0.7029  2 Ti 2.57, 3 Ir 2.74-2.77, 2 Ta 2.75
Ir  0.5000  0.7971  0.9351  2 Ti 2.57, 3 Ir 2.74-2.77, 2 Ta 2.75
Nb  0.0000  0.6773  0.1773  3 Ti 2.58-2.78
Ti  0.0000  0.3774  0.1226  6 Ir 2.51-2.57, 3 Nb 2.58-2.78
Ir  0.5000  0.2971  0.5649  2 Ti 2.57, 3 Ir 2.74-2.77, 2 Ta 2.75
Ir  0.5000  0.0000  0.5000  4 Ti 2.51, 4 Ir 2.77
Nb  0.0000  0.3227  0.8227  3 Ti 2.58-2.78

Summary:
DFT total energy, eV/atom: -9.63
Density of states at the Fermi level, states/eV/atom: 0.71
Symmetry: No. 127